Here is an optimized crystal structure of NdLuC from Alexandria. Energies are from PBE.

The structure in CIF format:
```
data_NdLuC
_chemical_formula_sum 'Nd1 Lu1 C1'
_space_group_name_H-M_alt 'P 3 m 1'
_space_group_IT_number 156
_space_group_name_Hall 'P 3 -2"'
_cell_length_a 3.5786
_cell_length_b 3.5786
_cell_length_c 6.3789
_cell_angle_alpha 90.00
_cell_angle_beta 90.00
_cell_angle_gamma 120.00
loop_
_atom_site_label
_atom_site_type_symbol
_atom_site_fract_x
_atom_site_fract_y
_atom_site_fract_z
Nd1 Nd 0.0000 0.0000 0.0000
Lu1 Lu 0.3333 0.6667 0.4284
C1 C 0.6667 0.3333 0.2379
```

Output
- energy of formation (meV per atom) = -193
- E (eV for the cell shown) = -19.09

Here is an optimized crystal structure of Lu4Ni2C5 from Alexandria. Energies are from PBE.

The structure in CIF format:
```
data_Lu4Ni2C5
_chemical_formula_sum 'Lu4 Ni2 C5'
_space_group_name_H-M_alt 'P m m 2'
_space_group_IT_number 25
_space_group_name_Hall 'P 2 -2'
_cell_length_a 3.516
_cell_length_b 11.398
_cell_length_c 3.645
_cell_angle_alpha 90.00
_cell_angle_beta 90.00
_cell_angle_gamma 90.00
loop_
_atom_site_label
_atom_site_type_symbol
_atom_site_fract_x
_atom_site_fract_y
_atom_site_fract_z
Lu1 Lu 0.000 0.000 0.000
Lu2 Lu 0.000 0.298 0.710
Lu3 Lu 0.500 0.500 0.213
Ni1 Ni 0.500 0.115 0.512
C1 C 0.000 0.500 0.719
C2 C 0.500 0.168 0.012
C3 C 0.500 0.273 0.212
```

Output
- energy of formation (meV per atom) = -420
- E (eV for the cell shown) = -80.39